Density functional theory data (PBE) for an optimized crystal structure of BiH2Ru.

Cell: 4.1031 4.1031 4.1031 Å, 60.00 60.00 60.00°
Atoms (fractional coordinates):
Bi (0.0000, 0.0000, 0.0000)
H (0.2500, 0.2500, 0.2500)
H (0.7500, 0.7500, 0.7500)
Ru (0.5000, 0.5000, 0.5000)

Computed properties:
The value obtained for the energy above the most stable polymorph in this dataset is 0.959 eV/atom. Its magnetization is 0.6 μB per formula unit. Its crystal system is cubic. As for the space group: Fm-3m.

***

Density functional theory data (PBE) for an optimized crystal structure of BiH3Ru.

Cell: 6.0694 6.0694 5.3473 Å, 97.46 97.46 44.56°
Atoms (fractional coordinates):
Bi (0.1464, 0.1464, 0.0622)
Bi (0.8536, 0.8536, 0.9378)
H (0.1067, 0.5895, 0.4493)
H (0.4105, 0.8933, 0.5507)
H (0.4225, 0.4225, 0.7671)
H (0.5775, 0.5775, 0.2329)
H (0.5895, 0.1067, 0.4493)
H (0.8933, 0.4105, 0.5507)
Ru (0.2849, 0.2849, 0.6329)
Ru (0.7151, 0.7151, 0.3671)

Computed properties:
The value obtained for the energy above the most stable polymorph in this dataset is 0.000 eV/atom. Its magnetization is 0.0 μB per formula unit. Its crystal system is monoclinic. As for the space group: C2/m.

***

Density functional theory data (PBE) for an optimized crystal structure of Sc2BiHRu.

Cell: 4.5953 4.5953 3.8953 Å, 90.00 90.00 90.00°
Atoms (fractional coordinates):
Sc (0.0000, 0.5000, 0.0000)
Sc (0.5000, 0.0000, 0.0000)
Bi (0.0000, 0.0000, 0.5000)
H (0.5000, 0.5000, 0.0000)
Ru (0.5000, 0.5000, 0.5000)

Computed properties:
Its magnetization is 0.0 μB per formula unit. The total energy is -31.31 eV per cell. Its crystal system is tetragonal. As for the space group: P4/mmm.

***

Density functional theory data (PBE) for an optimized crystal structure of SnBiH6Ru2.

Cell: 7.6263 7.6263 5.9666 Å, 106.35 106.35 116.11°
Atoms (fractional coordinates):
Sn (0.0393, 0.9607, 0.7500)
Sn (0.9607, 0.0393, 0.2500)
Bi (0.3465, 0.6535, 0.2500)
Bi (0.6535, 0.3465, 0.7500)
H (0.0390, 0.2881, 0.7607)
H (0.1569, 0.4851, 0.6913)
H (0.2881, 0.0390, 0.2607)
H (0.3539, 0.4747, 0.5438)
H (0.4747, 0.3539, 0.0438)
H (0.4851, 0.1569, 0.1913)
H (0.5149, 0.8431, 0.8087)
H (0.5253, 0.6461, 0.9562)
H (0.6461, 0.5253, 0.4562)
H (0.7119, 0.9610, 0.7393)
H (0.8431, 0.5149, 0.3087)
H (0.9610, 0.7119, 0.2393)
Ru (0.2655, 0.3517, 0.7420)
Ru (0.3517, 0.2655, 0.2420)
Ru (0.6483, 0.7345, 0.7580)
Ru (0.7345, 0.6483, 0.2580)

Computed properties:
Its magnetization is 0.0 μB per formula unit. The total energy is -90.70 eV per cell. Its crystal system is monoclinic. As for the space group: C2/c.

***

Density functional theory data (PBE) for an optimized crystal structure of ThBiH6Ru2.

Cell: 6.3494 6.3494 5.8706 Å, 100.17 100.17 99.37°
Atoms (fractional coordinates):
Th (0.1488, 0.8512, 0.7500)
Th (0.8512, 0.1488, 0.2500)
Bi (0.3690, 0.6310, 0.2500)
Bi (0.6310, 0.3690, 0.7500)
H (0.0313, 0.5548, 0.3946)
H (0.1721, 0.1763, 0.5667)
H (0.1763, 0.1721, 0.0667)
H (0.2819, 0.5240, 0.8182)
H (0.4452, 0.9687, 0.1054)
H (0.4760, 0.7181, 0.6818)
H (0.5240, 0.2819, 0.3182)
H (0.5548, 0.0313, 0.8946)
H (0.7181, 0.4760, 0.1818)
H (0.8237, 0.8279, 0.9333)
H (0.8279, 0.8237, 0.4333)
H (0.9687, 0.4452, 0.6054)
Ru (0.0735, 0.3239, 0.8101)
Ru (0.3239, 0.0735, 0.3101)
Ru (0.6761, 0.9265, 0.6899)
Ru (0.9265, 0.6761, 0.1899)

Computed properties:
Its magnetization is 0.0 μB per formula unit. The total energy is -102.46 eV per cell. Its crystal system is monoclinic. As for the space group: C2/c.

***

Density functional theory data (PBE) for an optimized crystal structure of BiHS.

Cell: 4.1981 5.6050 6.1114 Å, 103.26 94.04 92.21°
Atoms (fractional coordinates):
Bi (0.1682, 0.1762, 0.2880)
Bi (0.8318, 0.8238, 0.7120)
H (0.2337, 0.8964, 0.8980)
H (0.7663, 0.1036, 0.1020)
S (0.1748, 0.7190, 0.3628)
S (0.8252, 0.2810, 0.6372)

Computed properties:
The value obtained for the energy above the most stable polymorph in this dataset is 0.000 eV/atom. Its magnetization is 0.0 μB per formula unit. Its crystal system is triclinic. As for the space group: P-1.

***

Density functional theory data (PBE) for an optimized crystal structure of BiHS3.

Cell: 4.3266 4.3266 4.3266 Å, 90.00 90.00 90.00°
Atoms (fractional coordinates):
Bi (0.0000, 0.0000, 0.0000)
H (0.5000, 0.5000, 0.5000)
S (0.0000, 0.5000, 0.5000)
S (0.5000, 0.0000, 0.5000)
S (0.5000, 0.5000, 0.0000)

Computed properties:
The value obtained for the energy above the most stable polymorph in this dataset is 0.000 eV/atom. Its magnetization is 0.0 μB per formula unit. Its crystal system is cubic. As for the space group: Pm-3m.

***

Density functional theory data (PBE) for an optimized crystal structure of BiHS.

Cell: 5.2250 5.2250 5.2250 Å, 134.44 134.44 66.39°
Atoms (fractional coordinates):
Bi (0.0000, 0.0000, 0.0000)
H (0.2889, 0.2889, 0.0000)
S (0.4515, 0.4515, 0.0000)

Computed properties:
The value obtained for the energy above the most stable polymorph in this dataset is 0.094 eV/atom. Its magnetization is 0.0 μB per formula unit. Its crystal system is tetragonal. As for the space group: I4mm.

***

Density functional theory data (PBE) for an optimized crystal structure of BiHS.

Cell: 4.0015 4.0015 8.8971 Å, 90.34 90.34 89.40°
Atoms (fractional coordinates):
Bi (0.2449, 0.2449, 0.2290)
Bi (0.7551, 0.7551, 0.7710)
H (0.2371, 0.2371, 0.4374)
H (0.7629, 0.7629, 0.5626)
S (0.2248, 0.2248, 0.8052)
S (0.7752, 0.7752, 0.1948)

Computed properties:
The value obtained for the energy above the most stable polymorph in this dataset is 0.010 eV/atom. Its magnetization is 0.0 μB per formula unit. Its crystal system is monoclinic. As for the space group: C2/m.

***

Density functional theory data (PBE) for an optimized crystal structure of BiHS3.

Cell: 5.3441 5.3441 5.3441 Å, 90.00 90.00 90.00°
Atoms (fractional coordinates):
Bi (0.0000, 0.0000, 0.0000)
H (0.5000, 0.5000, 0.5000)
S (0.0000, 0.0000, 0.5000)
S (0.0000, 0.5000, 0.0000)
S (0.5000, 0.0000, 0.0000)

Computed properties:
The value obtained for the energy above the most stable polymorph in this dataset is 0.401 eV/atom. Its magnetization is 1.6 μB per formula unit. Its crystal system is cubic. As for the space group: Pm-3m.

***

Density functional theory data (PBE) for an optimized crystal structure of BiHS.

Cell: 4.6905 4.7198 4.7231 Å, 90.04 90.00 119.52°
Atoms (fractional coordinates):
Bi (0.0000, 0.0000, 0.0000)
H (0.9998, 0.9998, 0.6045)
S (0.6669, 0.3351, 0.0447)

Computed properties:
The value obtained for the energy above the most stable polymorph in this dataset is 0.076 eV/atom. Its magnetization is 0.0 μB per formula unit. Its crystal system is triclinic. As for the space group: P1.

***

Density functional theory data (PBE) for an optimized crystal structure of TcBiH2S.

Cell: 3.9158 3.9158 4.6349 Å, 90.00 90.00 90.00°
Atoms (fractional coordinates):
Tc (0.0000, 0.0000, 0.0000)
Bi (0.5000, 0.5000, 0.5000)
H (0.0000, 0.5000, 0.0000)
H (0.5000, 0.0000, 0.0000)
S (0.0000, 0.0000, 0.5000)

Computed properties:
Its magnetization is 0.0 μB per formula unit. The total energy is -23.10 eV per cell. Its crystal system is tetragonal. As for the space group: P4/mmm.